{
  "formula": "KGaPb",
  "functional": "PBE-GGA",
  "state": "optimized geometry",
  "lattice_angstrom": [[3.908, 0.000, 0.000], [0.000, 8.207, 3.132], [0.000, -8.207, 3.132]],
  "species": ["K", "K", "Ga", "Ga", "Pb", "Pb"],
  "fractional_positions": [[0.000, 0.177, 0.823], [0.000, 0.823, 0.177], [0.500, 0.375, 0.637], [0.500, 0.637, 0.375], [0.000, 0.623, 0.623], [0.500, 0.186, 0.186]],
  "vol_a3_per_cell": 200.9,
  "energy_ev_per_fu": -8.0,
  "dos_at_fermi_per_ev_fu": 0.736,
  "magmom_total_mub_per_cell": 0.0
}